Entry 1:
Ba2AlZnF9 | SCAN | PBEsol geometry

```
52
Lattice="5.5286 0.0000 0.0000 0.0000 7.3499 0.0000 0.0000 0.0000 17.6989" Properties=species:S:1:pos:R:3 pbc="T T T"
Ba 4.1464 6.8841 13.8651
Ba 4.1464 4.1407 5.0156
Ba 1.3821 0.4658 3.8338
Ba 1.3821 3.2091 12.6833
Ba 1.3821 2.1023 8.2363
Ba 1.3821 1.5726 17.0858
Ba 4.1464 5.2476 9.4626
Ba 4.1464 5.7772 0.6131
Al 4.1464 3.0435 15.4837
Al 4.1464 0.6315 6.6342
Al 1.3821 4.3064 2.2152
Al 1.3821 6.7184 11.0646
Zn 1.3821 5.3985 16.0826
Zn 1.3821 5.6263 7.2332
Zn 4.1464 1.9514 1.6163
Zn 4.1464 1.7235 10.4657
F 4.1464 4.1612 14.1032
F 4.1464 6.8636 5.2538
F 1.3821 3.1887 3.5956
F 1.3821 0.4862 12.4451
F 2.8552 7.0051 7.5187
F 5.4376 4.0196 16.3681
F 0.0910 0.3447 10.1802
F 2.6733 3.3302 1.3308
F 2.6733 0.3447 10.1802
F 0.0910 3.3302 1.3308
F 5.4376 7.0051 7.5187
F 2.8552 4.0196 16.3681
F 5.5169 4.2309 7.3985
F 2.7759 6.7939 16.2479
F 2.7526 3.1190 10.3004
F 0.0116 0.5559 1.4509
F 0.0116 3.1190 10.3004
F 2.7526 0.5559 1.4509
F 2.7759 4.2309 7.3985
F 5.5169 6.7939 16.2479
F 2.8364 1.6627 5.9595
F 5.4565 2.0123 14.8090
F 0.0721 5.6872 11.7394
F 2.6922 5.3376 2.8899
F 2.6922 5.6872 11.7394
F 0.0721 5.3376 2.8899
F 5.4565 1.6627 5.9595
F 2.8364 2.0123 14.8090
F 1.3821 5.6560 9.5166
F 1.3821 5.3688 0.6672
F 4.1464 1.6938 8.1823
F 4.1464 1.9811 17.0317
F 1.3821 5.3486 14.1612
F 1.3821 5.6762 5.3118
F 4.1464 2.0013 3.5377
F 4.1464 1.6737 12.3871
```

Calculated values
- Energy relative to the elements, uncorrected: -3.708 eV per atom

Entry 2:
CdFeCoSi2 | SCAN | PBEsol geometry

```
5
Lattice="4.1931 0.0000 0.0000 0.0000 4.1931 0.0000 0.0000 0.0000 4.6543" Properties=species:S:1:pos:R:3 pbc="T T T"
Si 0.0000 2.0966 0.0000
Si 2.0966 0.0000 0.0000
Co 0.0000 0.0000 0.0000
Fe 0.0000 0.0000 2.3272
Cd 2.0966 2.0966 2.3272
```

Calculated values
- Energy relative to the elements, uncorrected: 0.417 eV per atom

Entry 3:
CeGe4Rh6 | SCAN | PBEsol geometry

```
11
Lattice="-3.1874 0.4138 -2.0567 3.1386 -3.2161 -5.5111 -3.5880 -3.8437 4.7873" Properties=species:S:1:pos:R:3 pbc="T T T"
Ce 0.0000 0.0000 0.0000
Ge -1.3458 -3.6345 1.3545
Ge -1.2438 -4.6942 -2.5566
Ge 0.2131 -3.1335 -4.5005
Ge -1.0613 -1.8276 -2.2627
Rh 1.4356 -1.9690 -2.6210
Rh -0.0020 -3.5091 -0.7028
Rh 1.2555 -4.7977 -2.9110
Rh -2.3981 -1.9655 -0.2187
Rh -3.8415 -3.5117 1.7072
Rh -2.5789 -4.8056 -0.5099
```

Calculated values
- ΔE_f: -0.862 eV/atom

Entry 4:
CoRhAu2 | SCAN | PBEsol geometry

```
4
Lattice="2.7688 0.0000 0.0000 -1.3844 4.5382 0.0037 0.0000 -0.9625 4.6354" Properties=species:S:1:pos:R:3 pbc="T T T"
Rh 0.0000 1.4729 3.4036
Au 1.3844 3.5510 4.6110
Au 1.3844 2.0851 1.1918
Co 1.3844 -0.4389 2.3894
```

Calculated values
- E above lowest polymorph: 5.9 kJ/mol of atoms
- ΔE_f: 0.118 eV/atom

Entry 5:
RbReSe2N | SCAN | PBEsol geometry

```
5
Lattice="4.1941 0.0000 0.0000 0.0000 5.5796 0.0000 0.0000 0.0000 5.5796" Properties=species:S:1:pos:R:3 pbc="T T T"
Re 2.0971 2.7898 2.7898
Se 0.0000 0.0000 2.7898
Se 0.0000 2.7898 0.0000
Rb 0.0000 0.0000 0.0000
N 2.0971 0.0000 0.0000
```

Calculated values
- Energy relative to the elements, uncorrected: 2.772 eV per atom

Entry 6:
SrTlSi2C | SCAN | PBEsol geometry

```
5
Lattice="4.4842 0.0000 0.0000 0.0000 5.5729 0.0000 0.0000 0.0000 5.5729" Properties=species:S:1:pos:R:3 pbc="T T T"
C 2.2421 0.0000 0.0000
Sr 0.0000 0.0000 0.0000
Tl 2.2421 2.7864 2.7864
Si 0.0000 0.0000 2.7864
Si 0.0000 2.7864 0.0000
```

Calculated values
- Energy relative to the elements, uncorrected: 2.183 eV per atom

Entry 7:
K3ErCl6 | SCAN | PBEsol geometry

```
10
Lattice="-7.0227 3.1315 0.8799 -5.4123 -1.0472 -5.4323 -6.1050 -4.5327 1.4431" Properties=species:S:1:pos:R:3 pbc="T T T"
K 0.0000 0.0000 0.0000
K -4.6350 -0.6121 -0.7773
K -13.9050 -1.8363 -2.3319
Cl -10.3251 -3.2691 -2.6976
Cl -11.0811 -1.3073 0.2659
Cl -10.7559 0.3291 -2.9620
Cl -7.4589 -1.1411 -3.3751
Cl -7.7841 -2.7774 -0.1472
Cl -8.2149 0.8207 -0.4116
Er -9.2700 -1.2242 -1.5546
```

Calculated values
- Energy relative to the elements, uncorrected: -2.288 eV per atom

Entry 8:
HgPb2Cl | SCAN | PBEsol geometry

```
4
Lattice="3.4130 -0.0337 0.0000 -0.2592 6.1246 0.0000 -1.5769 -3.0455 5.0716" Properties=species:S:1:pos:R:3 pbc="T T T"
Pb -0.7885 -1.5227 2.5358
Pb 0.7885 1.5227 2.5358
Hg -0.1296 3.0623 0.0000
Cl 1.7065 -0.0168 0.0000
```

Calculated values
- Energy relative to the elements, uncorrected: -0.304 eV per atom
- E above lowest polymorph: 5.1 kJ/mol of atoms

Entry 9:
TlNiPt4 | SCAN | PBEsol geometry

```
6
Lattice="5.2265 0.0000 0.0000 2.6132 4.5263 0.0000 2.6132 1.5088 4.2674" Properties=species:S:1:pos:R:3 pbc="T T T"
Ni 0.0000 0.0000 0.0000
Pt 3.9154 2.2606 1.5985
Pt 5.2265 3.0175 3.7394
Pt 6.5376 2.2606 1.5985
Pt 5.2265 4.5314 1.5985
Tl 7.8397 4.5263 3.2005
```

Calculated values
- ΔE_f: 0.187 eV/atom

Entry 10:
Mg8In | SCAN | PBEsol geometry

```
9
Lattice="-2.9056 0.5987 -3.3625 -3.5992 -6.0112 -0.9502 -6.0873 2.3826 2.6944" Properties=species:S:1:pos:R:3 pbc="T T T"
In 0.0000 0.0000 0.0000
Mg -4.4249 -3.2255 0.2593
Mg -5.2616 -0.4030 1.4849
Mg -7.4362 -2.2256 0.0495
Mg -2.1638 -1.7909 -1.4391
Mg -2.9879 0.9894 -0.2319
Mg -5.1560 -0.8042 -1.6678
Mg -6.0050 1.9919 -0.4363
Mg -4.3411 -3.6215 -2.8736
```

Calculated values
- ΔE_f: -0.055 eV/atom

Entry 11:
HgGeF3 | SCAN | PBEsol geometry

```
5
Lattice="4.4782 0.0000 0.0000 0.0000 4.4782 0.0000 0.0000 0.0000 4.4782" Properties=species:S:1:pos:R:3 pbc="T T T"
Ge 2.2391 2.2391 2.2391
Hg 0.0000 0.0000 0.0000
F 0.0000 2.2391 0.0000
F 0.0000 0.0000 2.2391
F 2.2391 0.0000 0.0000
```

Calculated values
- Energy relative to the elements, uncorrected: -0.818 eV per atom

Entry 12:
CaBi4O9 | SCAN | PBEsol geometry

```
28
Lattice="-3.3062 4.5444 0.6031 -4.9730 -2.8310 -5.9302 -4.2573 -3.9752 6.6147" Properties=species:S:1:pos:R:3 pbc="T T T"
Ca -7.7214 -4.0069 0.6590
Ca -4.8151 1.7450 0.6286
Bi -7.4806 -0.4292 -0.4459
Bi -4.1088 -0.9516 -2.1107
Bi -5.4039 0.7484 4.4634
Bi -5.7690 -2.8619 5.5796
Bi -6.7675 0.6001 -4.2920
Bi -8.4278 -1.3103 3.3983
Bi -5.0559 -1.8326 1.7335
Bi -7.1327 -3.0102 -3.1758
O -6.6635 -0.5476 -2.4530
O -5.8730 -1.7142 3.7406
O -8.8076 0.7418 -4.1996
O -2.9760 -2.1610 2.0045
O -1.8933 -0.8928 -1.6159
O -6.9815 1.5472 -0.2573
O -3.7289 -3.0036 5.4872
O -9.5605 -0.1009 -0.7169
O -10.6432 -1.3690 2.9035
O -5.5551 -3.8090 1.5448
O -8.8810 -3.4258 2.6667
O -10.3319 -3.5711 0.3048
O -7.2631 -1.4846 1.4059
O -8.1526 -2.4014 -1.0585
O -4.3839 0.1396 2.3460
O -2.2047 1.3092 0.9828
O -5.2734 -0.7773 -0.1183
O -3.6555 1.1640 -1.3791
```

Calculated values
- Energy relative to the elements, uncorrected: -1.290 eV per atom

Entry 13:
Cr2HgSe3S | SCAN | PBEsol geometry

```
14
Lattice="-5.1110 5.4470 0.5053 -4.6649 1.2955 -5.6892 -7.2459 -1.7110 0.6132" Properties=species:S:1:pos:R:3 pbc="T T T"
Cr -11.5171 2.3737 -3.5843
Cr -14.0867 5.1121 -3.3302
Cr -10.4023 6.0135 -3.6628
Cr -11.7357 4.4604 -0.4070
Hg -3.2684 2.1089 -0.3325
Hg -7.7151 3.2018 -1.6322
Se -9.7249 1.6437 -5.1643
Se -10.8788 0.2995 -2.3466
Se -7.1872 0.8431 -2.5412
Se -10.1063 3.9541 -2.2526
Se -13.2470 3.1869 -1.9649
Se -12.1082 4.5133 -4.7455
S -15.8081 3.9978 -4.5668
S -12.8549 0.8504 -4.8588
```

Calculated values
- Energy relative to the elements, uncorrected: -0.758 eV per atom

Entry 14:
MgIn3 | SCAN | PBEsol geometry

```
4
Lattice="3.3378 0.0000 0.0000 0.0000 5.3395 -0.1067 -1.6689 -1.0592 5.4226" Properties=species:S:1:pos:R:3 pbc="T T T"
Mg 0.0000 2.6697 -0.0533
In 0.0000 0.8120 2.7402
In 1.6689 3.4683 2.5757
In 1.6689 0.0000 0.0000
```

Calculated values
- ΔE_f: -0.046 eV/atom

Entry 15:
CeRe4Si2 | SCAN | PBEsol geometry

```
7
Lattice="4.0337 0.0000 0.0000 0.0000 4.1004 0.0000 0.0000 2.0502 6.9627" Properties=species:S:1:pos:R:3 pbc="T T T"
Ce 0.0000 0.0000 0.0000
Re 2.0168 2.0502 4.3742
Re 0.0000 2.0502 2.7027
Re 2.0168 4.1004 2.5885
Re 0.0000 4.1004 4.2600
Si 2.0168 2.0502 1.2052
Si 2.0168 4.1004 5.7576
```

Calculated values
- Energy relative to the elements, uncorrected: -0.481 eV per atom

Entry 16:
Mo2Pt | SCAN | PBEsol geometry

```
6
Lattice="2.6601 0.0000 0.0000 -1.3300 5.1932 0.0050 0.0000 -1.5548 6.5303" Properties=species:S:1:pos:R:3 pbc="T T T"
Mo 1.3300 1.8684 5.6172
Mo 0.0000 1.7701 0.9181
Mo 1.3300 3.0349 3.1349
Mo 0.0000 0.6036 3.4004
Pt 0.0000 4.5733 1.2646
Pt 1.3300 -0.9349 5.2707
```

Calculated values
- E above lowest polymorph: 1.1 kJ/mol of atoms
- ΔE_f: -0.201 eV/atom

Entry 17:
Ti2Cu | SCAN | PBEsol geometry

```
24
Lattice="7.9813 0.0000 0.0000 3.9906 6.9120 0.0000 3.9906 2.3040 6.5167" Properties=species:S:1:pos:R:3 pbc="T T T"
Ti 1.9953 1.1520 0.8146
Ti 3.9906 2.3040 4.0729
Ti 3.9906 4.6080 0.8146
Ti 5.9859 1.1520 0.8146
Ti 9.4523 5.4573 2.0573
Ti 6.5102 3.7587 4.4594
Ti 9.4523 3.7587 4.4594
Ti 6.5102 5.4573 2.0573
Ti 7.9813 2.9094 2.0573
Ti 7.9813 6.3066 4.4594
Ti 10.5009 6.0627 6.0886
Ti 13.4429 7.7613 3.6864
Ti 10.5009 7.7613 3.6864
Ti 13.4429 6.0627 6.0886
Ti 11.9719 8.6106 6.0886
Ti 11.9719 5.2134 3.6864
Cu 14.6063 8.4329 5.9630
Cu 11.9719 6.9120 1.6611
Cu 11.9719 3.8701 5.9630
Cu 9.3375 8.4329 5.9630
Cu 5.3469 3.0870 2.1829
Cu 7.9813 4.6080 6.4848
Cu 7.9813 7.6499 2.1829
Cu 10.6156 3.0870 2.1829
```

Calculated values
- ΔE_f: -0.116 eV/atom

Entry 18:
RhSBrN2 | SCAN | PBEsol geometry

```
5
Lattice="-1.5448 1.8827 2.8279 0.4072 -2.9815 2.2074 4.8105 1.7432 1.4673" Properties=species:S:1:pos:R:3 pbc="T T T"
S 2.4052 0.8716 0.7336
Rh 0.0000 0.0000 0.0000
Br 1.8364 0.3222 3.2513
N 0.2036 -1.4908 1.1037
N -0.7724 0.9413 1.4139
```

Calculated values
- Energy relative to the elements, uncorrected: 1.154 eV per atom
- E above lowest polymorph: 0.0 kJ/mol of atoms

Entry 19:
RbFeNi3 | SCAN | PBEsol geometry

```
5
Lattice="-2.2614 -2.7717 2.6579 2.1595 -3.4685 -1.7796 3.1754 0.3849 3.1031" Properties=species:S:1:pos:R:3 pbc="T T T"
Ni 1.0797 -1.7342 -0.8898
Ni 1.5877 0.1924 1.5515
Ni -1.1307 -1.3858 1.3289
Fe 0.0000 0.0000 0.0000
Rb 1.5367 -2.9276 1.9907
```

Calculated values
- E above lowest polymorph: 0.0 kJ/mol of atoms
- ΔE_f: 1.036 eV/atom

Entry 20:
NbGeI3 | SCAN | PBEsol geometry

```
5
Lattice="-4.4171 3.3624 -0.3762 -3.1742 -4.3325 -1.4534 -1.1712 -0.9392 5.3576" Properties=species:S:1:pos:R:3 pbc="T T T"
I -1.5871 -2.1663 -0.7267
I -0.5856 -0.4696 2.6788
I -2.2086 1.6812 -0.1881
Nb -4.3812 -0.9547 1.7641
Ge 0.0000 0.0000 0.0000
```

Calculated values
- Energy relative to the elements, uncorrected: 0.746 eV per atom